(1)
Ba2LiCd at its PBEsol-relaxed geometry, computed with meta-GGA SCAN.

The structure in CIF format:
```
data_Ba2LiCd
_cell_length_a 5.3333
_cell_length_b 4.6511
_cell_length_c 12.5843
_cell_angle_alpha 90.00
_cell_angle_beta 90.00
_cell_angle_gamma 90.00
_space_group_name_H-M_alt 'A m m 2'
_space_group_IT_number 38
loop_
_space_group_symop_operation_xyz
'x,y,z'
'-x,-y,z'
'-x,y,z'
'x,-y,z'
'x,y+1/2,z+1/2'
'-x,-y+1/2,z+1/2'
'-x,y+1/2,z+1/2'
'x,-y+1/2,z+1/2'
loop_
_atom_site_label
_atom_site_type_symbol
_atom_site_fract_x
_atom_site_fract_y
_atom_site_fract_z
_atom_site_occupancy
Ba1 Ba 0.0000 0.0000 0.0000 1
Ba2 Ba 0.5000 0.0000 0.2893 1
Li1 Li 0.5000 0.0000 0.5878 1
Cd1 Cd 0.0000 0.0000 0.7068 1
```



(2)
BaLi2Cd at its PBEsol-relaxed geometry, computed with meta-GGA SCAN.

The structure in CIF format:
```
data_BaLi2Cd
_cell_length_a 3.8952
_cell_length_b 5.7909
_cell_length_c 10.2535
_cell_angle_alpha 90.00
_cell_angle_beta 90.00
_cell_angle_gamma 90.00
_space_group_name_H-M_alt 'I m m m'
_space_group_IT_number 71
_space_group_name_Hall '-I 2 2'
loop_
_atom_site_label
_atom_site_type_symbol
_atom_site_fract_x
_atom_site_fract_y
_atom_site_fract_z
_atom_site_occupancy
Ba1 Ba 0.0000 0.0000 0.0000 1
Li1 Li 0.0000 0.5000 0.2040 1
Cd1 Cd 0.0000 0.0000 0.5000 1
```



(3)
Ba2LiCd at its PBEsol-relaxed geometry, computed with meta-GGA SCAN.

The structure in CIF format:
```
data_Ba2LiCd
_cell_length_a 12.7323
_cell_length_b 4.0840
_cell_length_c 5.9825
_cell_angle_alpha 90.00
_cell_angle_beta 111.19
_cell_angle_gamma 90.00
_space_group_name_H-M_alt 'C 1 m 1'
_space_group_IT_number 8
loop_
_space_group_symop_operation_xyz
'x,y,z'
'x,-y,z'
'x+1/2,y+1/2,z'
'x+1/2,-y+1/2,z'
loop_
_atom_site_label
_atom_site_type_symbol
_atom_site_fract_x
_atom_site_fract_y
_atom_site_fract_z
_atom_site_occupancy
Ba1 Ba 0.0000 0.0000 0.0000 1
Ba2 Ba 0.1980 0.0000 0.6496 1
Li1 Li 0.2824 0.5000 0.2422 1
Cd1 Cd 0.4486 0.0000 0.4561 1
```



For reference, energy relative to the elements by record: -0.184, -0.109, -0.161 eV/atom.
For reference, DOS at the Fermi energy by record: 6.437, 4.491, 6.154 states/eV/cell.